No. 1
VASP calculation (PBE) on a relaxed structure of Sr2CaInPd.

It has space group P4/mmm (No. 123), with a = 5.8842 Å, b = 5.8842 Å, c = 5.3117 Å, α = 90.00°, β = 90.00° and γ = 90.00°. The distinct sites, in fractional coordinates, are Sr at (0.0000, 0.5000, 0.0000), Ca at (0.0000, 0.0000, 0.5000), In at (0.5000, 0.5000, 0.5000) and Pd at (0.5000, 0.5000, 0.0000).

For the density of states at the Fermi level, the calculation gives 6.1 states/eV/cell. Its size of the total moment is 0.00 μB per formula unit. The value obtained for the formation energy is -299 meV/atom.

No. 2
VASP calculation (PBE) on a relaxed structure of Li2ZrCr.

It has space group Cm (No. 8), with a = 9.8173 Å, b = 2.9678 Å, c = 5.3349 Å, α = 90.00°, β = 111.43° and γ = 90.00°. The distinct sites, in fractional coordinates, are Li at (0.0000, 0.0000, 0.0000), Li at (0.2487, 0.0000, 0.8978), Zr at (0.2796, 0.5000, 0.4169) and Cr at (0.0250, 0.5000, 0.4901).

For the density of states at the Fermi level, the calculation gives 8.3 states/eV/cell. Its size of the total moment is 2.48 μB per formula unit. The calculation puts the energy above the most stable polymorph in this dataset at 147.2 meV/atom. The value obtained for the formation energy is 459 meV/atom.

No. 3
VASP calculation (PBE) on a relaxed structure of La5Pr5Nd.

It has space group P-6m2 (No. 187), with a = 6.3455 Å, b = 6.3455 Å, c = 11.5704 Å, α = 90.00°, β = 90.00° and γ = 120.00°. The distinct sites, in fractional coordinates, are La at (0.0000, 0.0000, 0.2319), La at (0.3436, 0.1718, 0.0000), Pr at (0.0000, 0.0000, 0.5000), Pr at (0.3333, 0.6667, 0.1784), Pr at (0.6667, 0.3333, 0.3347) and Nd at (0.3333, 0.6667, 0.5000).

For the density of states at the Fermi level, the calculation gives 20.3 states/eV/cell. Its size of the total moment is 0.00 μB per formula unit. The calculation puts the energy above the most stable polymorph in this dataset at 118.5 meV/atom. The value obtained for the formation energy is 238 meV/atom.

No. 4
VASP calculation (PBE) on a relaxed structure of KPt2.

It has space group C2/m (No. 12), with a = 12.0806 Å, b = 2.7568 Å, c = 4.5224 Å, α = 90.00°, β = 111.38° and γ = 90.00°. The distinct sites, in fractional coordinates, are K at (0.0000, 0.0000, 0.0000) and Pt at (0.2361, 0.0000, 0.7363).

For the density of states at the Fermi level, the calculation gives 4.3 states/eV/cell. Its size of the total moment is 0.00 μB per formula unit. The value obtained for the formation energy is -158 meV/atom.

No. 5
VASP calculation (PBE) on a relaxed structure of NdGaAg.

It has space group P2_1/c (No. 14), with a = 5.9346 Å, b = 6.0199 Å, c = 8.4401 Å, α = 90.00°, β = 112.13° and γ = 90.00°. The distinct sites, in fractional coordinates, are Nd at (0.2020, 0.1410, 0.3801), Ga at (0.3884, 0.5982, 0.2693) and Ag at (0.2121, 0.6256, 0.5129).

For the density of states at the Fermi level, the calculation gives 8.9 states/eV/cell. Its size of the total moment is 0.00 μB per formula unit. The value obtained for the formation energy is -391 meV/atom.

No. 6
VASP calculation (PBE) on a relaxed structure of Mg5Tl3.

It has space group P-62m (No. 189), with a = 8.1781 Å, b = 8.1781 Å, c = 3.4318 Å, α = 90.00°, β = 90.00° and γ = 120.00°. The distinct sites, in fractional coordinates, are Mg at (0.0000, 0.7690, 0.0000), Mg at (0.3333, 0.6667, 0.0000) and Tl at (0.0000, 0.3820, 0.5000).

For the density of states at the Fermi level, the calculation gives 3.6 states/eV/cell. Its size of the total moment is 0.00 μB per formula unit. The calculation puts the energy above the most stable polymorph in this dataset at 50.8 meV/atom. The value obtained for the formation energy is 22 meV/atom.

No. 7
VASP calculation (PBE) on a relaxed structure of CaTeN2.

It has space group I-42d (No. 122), with a = 5.1689 Å, b = 5.1689 Å, c = 11.1941 Å, α = 90.00°, β = 90.00° and γ = 90.00°. The distinct sites, in fractional coordinates, are Ca at (0.0000, 0.0000, 0.0000), Te at (0.0000, 0.0000, 0.5000) and N at (0.2130, 0.2500, 0.6250).

For the density of states at the Fermi level, the calculation gives 1.7 states/eV/cell. Its size of the total moment is 0.00 μB per formula unit. For the formation energy without anion corrections, the calculation gives 0.201 eV per atom.

No. 8
VASP calculation (PBE) on a relaxed structure of Tm2TlZn3.

It has space group Fmmm (No. 69), with a = 7.0170 Å, b = 9.1375 Å, c = 15.8411 Å, α = 90.00°, β = 90.00° and γ = 90.00°. The distinct sites, in fractional coordinates, are Tm at (0.2440, 0.0000, 0.0000), Tm at (0.2500, 0.2500, 0.2500), Tl at (0.0000, 0.0000, 0.3344), Zn at (0.0000, 0.0000, 0.1607) and Zn at (0.0000, 0.2411, 0.0799).

For the density of states at the Fermi level, the calculation gives 29.8 states/eV/cell. Its size of the total moment is 0.00 μB per formula unit. The calculation puts the energy above the most stable polymorph in this dataset at 0.0 meV/atom. The value obtained for the formation energy is -315 meV/atom.

No. 9
VASP calculation (PBE) on a relaxed structure of AsPbBr.

It has space group I4mm (No. 107), with a = 4.2430 Å, b = 4.2430 Å, c = 10.7203 Å, α = 90.00°, β = 90.00° and γ = 90.00°. The distinct sites, in fractional coordinates, are As at (0.0000, 0.0000, 0.0000), Pb at (0.0000, 0.0000, 0.5607) and Br at (0.0000, 0.0000, 0.2353).

For the density of states at the Fermi level, the calculation gives 0.5 states/eV/cell. Its size of the total moment is 0.00 μB per formula unit. The calculation puts the energy above the most stable polymorph in this dataset at 367.6 meV/atom. For the formation energy without anion corrections, the calculation gives -0.045 eV per atom.

No. 10
VASP calculation (PBE) on a relaxed structure of SrSnCl2.

It has space group R-3m (No. 166, hexagonal axes), with a = 4.0278 Å, b = 4.0278 Å, c = 34.2955 Å, α = 90.00°, β = 90.00° and γ = 120.00°. The distinct sites, in fractional coordinates, are Sr at (0.0000, 0.0000, 0.0000), Sn at (0.0000, 0.0000, 0.5000) and Cl at (0.0000, 0.0000, 0.3811).

For the density of states at the Fermi level, the calculation gives 4.3 states/eV/cell. Its size of the total moment is 0.00 μB per formula unit. The calculation puts the energy above the most stable polymorph in this dataset at 0.0 meV/atom. For the formation energy without anion corrections, the calculation gives -1.381 eV per atom.

No. 11
VASP calculation (PBE) on a relaxed structure of HfZr2VOs.

It has space group P4/mmm (No. 123), with a = 5.0186 Å, b = 5.0186 Å, c = 4.9627 Å, α = 90.00°, β = 90.00° and γ = 90.00°. The distinct sites, in fractional coordinates, are Hf at (0.0000, 0.0000, 0.0000), Zr at (0.0000, 0.5000, 0.5000), V at (0.5000, 0.5000, 0.0000) and Os at (0.0000, 0.0000, 0.5000).

For the density of states at the Fermi level, the calculation gives 7.5 states/eV/cell. Its size of the total moment is 0.05 μB per formula unit. The value obtained for the formation energy is 851 meV/atom.

No. 12
VASP calculation (PBE) on a relaxed structure of CrGaAg2S.

It has space group P4/mmm (No. 123), with a = 4.8887 Å, b = 4.8887 Å, c = 4.4776 Å, α = 90.00°, β = 90.00° and γ = 90.00°. The distinct sites, in fractional coordinates, are Cr at (0.0000, 0.0000, 0.0000), Ga at (0.5000, 0.5000, 0.0000), Ag at (0.0000, 0.5000, 0.5000) and S at (0.0000, 0.0000, 0.5000).

For the density of states at the Fermi level, the calculation gives 2.4 states/eV/cell. Its size of the total moment is 3.55 μB per formula unit. For the formation energy without anion corrections, the calculation gives 0.353 eV per atom.